NaMnPdSe2 | GGA-PBE | relaxed

a = 5.127 Å, b = 4.783 Å, c = 5.127 Å
α = 90.00°, β = 90.00°, γ = 90.00°
Site moments in Bohr magnetons follow the coordinates.
Atoms (fractional coordinates):
Se: 0.000 0.000 0.500  0.00
Se: 0.500 0.000 0.000  0.00
Mn: 0.000 0.500 0.000  4.32
Na: 0.500 0.500 0.500  0.00
Pd: 0.000 0.000 0.000  0.14

Computed properties:
total DFT energy (no corrections) = -4.50 eV per atom
formation energy without anion corrections = 0.027 eV/atom

---

Ce12Sb3C5 | GGA-PBE | relaxed

a = 13.993 Å, b = 13.993 Å, c = 13.993 Å
α = 109.47°, β = 109.47°, γ = 109.47°
Site moments in Bohr magnetons follow the coordinates.
Atoms (fractional coordinates):
Ce: 0.094 0.184 0.486  0.76
Ce: 0.197 0.514 0.608  0.76
Ce: 0.197 0.684 0.089  0.76
Ce: 0.486 0.803 0.892  0.76
Ce: 0.089 0.184 0.197  0.76
Ce: 0.906 0.816 0.514  0.76
Ce: 0.392 0.406 0.089  0.76
Ce: 0.514 0.316 0.906  0.76
Ce: 0.108 0.697 0.514  0.76
Ce: 0.608 0.014 0.197  0.76
Ce: 0.411 0.108 0.594  0.76
Ce: 0.986 0.392 0.303  0.76
Ce: 0.986 0.594 0.184  0.76
Ce: 0.014 0.406 0.816  0.76
Ce: 0.514 0.197 0.108  0.76
Ce: 0.411 0.303 0.316  0.76
Ce: 0.594 0.986 0.684  0.76
Ce: 0.697 0.589 0.184  0.76
Ce: 0.303 0.892 0.986  0.76
Ce: 0.608 0.594 0.911  0.76
Ce: 0.892 0.303 0.486  0.76
Ce: 0.089 0.906 0.392  0.76
Ce: 0.406 0.392 0.589  0.76
Ce: 0.803 0.316 0.911  0.76
Ce: 0.816 0.911 0.303  0.76
Ce: 0.803 0.486 0.392  0.76
Ce: 0.911 0.094 0.608  0.76
Ce: 0.184 0.094 0.986  0.76
Ce: 0.392 0.986 0.803  0.76
Ce: 0.014 0.608 0.697  0.76
Ce: 0.697 0.108 0.014  0.76
Ce: 0.906 0.089 0.892  0.76
Ce: 0.911 0.816 0.803  0.76
Ce: 0.406 0.014 0.316  0.76
Ce: 0.486 0.684 0.094  0.76
Ce: 0.316 0.514 0.406  0.76
Ce: 0.094 0.911 0.108  0.76
Ce: 0.316 0.803 0.411  0.76
Ce: 0.594 0.608 0.411  0.76
Ce: 0.684 0.197 0.589  0.76
Ce: 0.184 0.089 0.697  0.76
Ce: 0.816 0.906 0.014  0.76
Ce: 0.108 0.411 0.094  0.76
Ce: 0.303 0.411 0.816  0.76
Ce: 0.589 0.892 0.406  0.76
Ce: 0.892 0.589 0.906  0.76
Ce: 0.589 0.697 0.684  0.76
Ce: 0.684 0.486 0.594  0.76
Sb: 0.750 0.875 0.625  -0.02
Sb: 0.375 0.625 0.250  -0.02
Sb: 0.375 0.750 0.625  -0.02
Sb: 0.750 0.375 0.125  -0.02
Sb: 0.250 0.125 0.375  -0.02
Sb: 0.875 0.125 0.250  -0.02
Sb: 0.625 0.375 0.750  -0.02
Sb: 0.125 0.875 0.750  -0.02
Sb: 0.625 0.250 0.375  -0.02
Sb: 0.875 0.750 0.125  -0.02
Sb: 0.250 0.625 0.875  -0.02
Sb: 0.125 0.250 0.875  -0.02
C: 0.375 0.250 0.125  -0.05
C: 0.875 0.625 0.750  -0.05
C: 0.375 0.125 0.750  -0.05
C: 0.625 0.750 0.875  -0.05
C: 0.000 0.500 0.500  -0.06
C: 0.125 0.375 0.250  -0.05
C: 0.250 0.875 0.125  -0.05
C: 0.625 0.875 0.250  -0.05
C: 0.750 0.625 0.375  -0.05
C: 0.750 0.125 0.875  -0.05
C: 0.500 0.500 0.000  -0.06
C: 0.500 0.500 0.500  -0.06
C: 0.000 0.000 0.000  -0.06
C: 0.500 0.000 0.500  -0.06
C: 0.875 0.250 0.625  -0.05
C: 0.000 0.500 0.000  -0.06
C: 0.500 0.000 0.000  -0.06
C: 0.000 0.000 0.500  -0.06
C: 0.125 0.750 0.375  -0.05
C: 0.250 0.375 0.625  -0.05

Computed properties:
total DFT energy (no corrections) = -6.74 eV per atom
formation energy without anion corrections = -0.252 eV/atom